Model one:
Computed, not measured: an optimized crystal structure of Sr2MgI at the PBE level of DFT.

a = 4.3619 Å, b = 4.3619 Å, c = 29.9446 Å
α = 90.00°, β = 90.00°, γ = 120.00°
Sites, in units of the cell vectors:
Sr1 0.0000 0.0000 0.0000
Sr2 0.0000 0.0000 0.1690
Sr3 0.3333 0.6667 0.6667
Sr4 0.3333 0.6667 0.8357
Sr5 0.6667 0.3333 0.3333
Sr6 0.6667 0.3333 0.5023
Mg1 0.0000 0.0000 0.5846
Mg2 0.3333 0.6667 0.2513
Mg3 0.6667 0.3333 0.9179
I1 0.0000 0.0000 0.4171
I2 0.3333 0.6667 0.0837
I3 0.6667 0.3333 0.7504

Computed properties:
* DOS at the Fermi energy: 3.176 states/eV/f.u.
* space-group type: R3m

Model two:
Computed, not measured: an optimized crystal structure of Sr2MgI at the PBE level of DFT.

a = 9.1804 Å, b = 9.1804 Å, c = 8.4879 Å
α = 90.00°, β = 90.00°, γ = 90.00°
Sites, in units of the cell vectors:
Sr1 0.2406 0.7500 0.1250
Sr2 0.2500 0.2406 0.8750
Sr3 0.2500 0.2594 0.3750
Sr4 0.2594 0.7500 0.6250
Sr5 0.7406 0.2500 0.6250
Sr6 0.7500 0.7406 0.3750
Sr7 0.7500 0.7594 0.8750
Sr8 0.7594 0.2500 0.1250
Mg1 0.0000 0.0000 0.5000
Mg2 0.0000 0.5000 0.7500
Mg3 0.5000 0.0000 0.2500
Mg4 0.5000 0.5000 0.0000
I1 0.0000 0.0000 0.0000
I2 0.0000 0.5000 0.2500
I3 0.5000 0.0000 0.7500
I4 0.5000 0.5000 0.5000

Computed properties:
* DOS at the Fermi energy: 3.351 states/eV/f.u.
* space-group type: I-42d

Model three:
Computed, not measured: an optimized crystal structure of Sr2MgI at the PBE level of DFT.

a = 4.0724 Å, b = 4.0724 Å, c = 9.2569 Å
α = 90.00°, β = 90.00°, γ = 90.00°
Sites, in units of the cell vectors:
Sr1 0.0000 0.0000 0.2352
Sr2 0.0000 0.0000 0.7648
Mg1 0.5000 0.5000 0.0000
I1 0.5000 0.5000 0.5000

Computed properties:
* DOS at the Fermi energy: 2.513 states/eV/f.u.
* space-group type: P4/mmm

Verdict on stability: model three comes out on top.

Model one:
Computed, not measured: an optimized crystal structure of Sr2MgI at the PBE level of DFT.

a = 4.1291 Å, b = 4.1291 Å, c = 36.7591 Å
α = 90.00°, β = 90.00°, γ = 120.00°
Sites, in units of the cell vectors:
Sr1 0.0000 0.0000 0.0968
Sr2 0.0000 0.0000 0.9032
Sr3 0.3333 0.6667 0.5699
Sr4 0.3333 0.6667 0.7634
Sr5 0.6667 0.3333 0.2366
Sr6 0.6667 0.3333 0.4301
Mg1 0.0000 0.0000 0.0000
Mg2 0.3333 0.6667 0.6667
Mg3 0.6667 0.3333 0.3333
I1 0.0000 0.0000 0.5000
I2 0.3333 0.6667 0.1667
I3 0.6667 0.3333 0.8333

Computed properties:
* DOS at the Fermi energy: 2.988 states/eV/f.u.
* space-group type: R-3m

Model two:
Computed, not measured: an optimized crystal structure of Sr2MgI at the PBE level of DFT.

a = 8.6062 Å, b = 8.6062 Å, c = 8.6062 Å
α = 90.00°, β = 90.00°, γ = 90.00°
Sites, in units of the cell vectors:
Sr1 0.2500 0.2500 0.2500
Sr2 0.2500 0.2500 0.7500
Sr3 0.2500 0.7500 0.2500
Sr4 0.2500 0.7500 0.7500
Sr5 0.7500 0.2500 0.2500
Sr6 0.7500 0.2500 0.7500
Sr7 0.7500 0.7500 0.2500
Sr8 0.7500 0.7500 0.7500
Mg1 0.0000 0.0000 0.0000
Mg2 0.0000 0.5000 0.5000
Mg3 0.5000 0.0000 0.5000
Mg4 0.5000 0.5000 0.0000
I1 0.0000 0.0000 0.5000
I2 0.0000 0.5000 0.0000
I3 0.5000 0.0000 0.0000
I4 0.5000 0.5000 0.5000

Computed properties:
* DOS at the Fermi energy: 4.233 states/eV/f.u.
* space-group type: Fm-3m

Verdict on stability: model two comes out on top.

Model one:
Computed, not measured: an optimized crystal structure of Sr2Mg2I at the PBE level of DFT.

a = 4.2630 Å, b = 4.2630 Å, c = 20.7264 Å
α = 90.00°, β = 90.00°, γ = 90.00°
Sites, in units of the cell vectors:
Sr1 0.0000 0.0000 0.1105
Sr2 0.0000 0.0000 0.8895
Sr3 0.5000 0.5000 0.3895
Sr4 0.5000 0.5000 0.6105
Mg1 0.0000 0.5000 0.2500
Mg2 0.0000 0.5000 0.7500
Mg3 0.5000 0.0000 0.2500
Mg4 0.5000 0.0000 0.7500
I1 0.0000 0.0000 0.5000
I2 0.5000 0.5000 0.0000

Computed properties:
* DOS at the Fermi energy: 4.348 states/eV/f.u.
* space-group type: I4/mmm

Model two:
Computed, not measured: an optimized crystal structure of Sr2Mg2I at the PBE level of DFT.

a = 9.1719 Å, b = 9.1719 Å, c = 4.5463 Å
α = 90.00°, β = 90.00°, γ = 90.00°
Sites, in units of the cell vectors:
Sr1 0.1730 0.3270 0.0000
Sr2 0.3270 0.8270 0.0000
Sr3 0.6730 0.1730 0.0000
Sr4 0.8270 0.6730 0.0000
Mg1 0.1189 0.6189 0.5000
Mg2 0.3811 0.1189 0.5000
Mg3 0.6189 0.8811 0.5000
Mg4 0.8811 0.3811 0.5000
I1 0.0000 0.0000 0.5000
I2 0.5000 0.5000 0.5000

Computed properties:
* DOS at the Fermi energy: 3.755 states/eV/f.u.
* space-group type: P4/mbm

Verdict on stability: model one comes out on top.